DFT (PBE-GGA) results for a relaxed structure of AcGa2Co.

Output
Its density of states at the Fermi level is 1.113 states/eV/atom. The value obtained for the calculated density is 8.24 g cm⁻³. The calculation puts the energy above the lowest structure with this stoichiometry at 65 meV/atom.

CIF file:
```
data_AcGa2Co
_symmetry_space_group_name_H-M 'R -3 m'
_symmetry_Int_Tables_number 166
_symmetry_space_group_name_Hall '-R 3 2"'
_cell_length_a 4.1665
_cell_length_b 4.1665
_cell_length_c 17.1006
_cell_angle_alpha 90.00
_cell_angle_beta 90.00
_cell_angle_gamma 120.00
loop_
_atom_site_label
_atom_site_fract_x
_atom_site_fract_y
_atom_site_fract_z
Ac1 0.0000 0.0000 0.0000
Ga1 0.0000 0.0000 0.2031
Co1 0.0000 0.0000 0.5000
```